1.
## CuSi2I2 (PBE)

Data for crystalline CuSi2I2 at its relaxed geometry.

**Spin magnetization**: 0.00 μB per formula unit
**V**: 27.11 Å³/atom
**Excess energy over the best structure of this formula in the dataset**: 302 meV per atom

Lattice parameters (Å, degrees): 7.526 7.526 4.786 90.00 90.00 90.00
Space group P4/mbm (No. 127)
One atom of each set of equivalent atoms:
Cu: 0.000 0.000 0.000 (multiplicity 2)
Si: 0.110 0.390 0.500 (multiplicity 4)
I: 0.180 0.680 0.000 (multiplicity 4)

=====

2.
## Cr2PH (PBE)

Data for crystalline Cr2PH at its relaxed geometry.

**Spin magnetization**: 0.00 μB per formula unit
**V**: 13.00 Å³/atom
**Excess energy over the best structure of this formula in the dataset**: 124 meV per atom

Lattice parameters (Å, degrees): 3.3131 3.3131 16.4161 90.00 90.00 120.00
Space group R-3m (No. 166, hexagonal axes)
One atom of each set of equivalent atoms:
Cr: 0.0000 0.0000 0.1000 (multiplicity 6)
P: 0.0000 0.0000 0.5000 (multiplicity 3)
H: 0.0000 0.0000 0.0000 (multiplicity 3)

=====

3.
## Co3Te4 (PBE)

Data for crystalline Co3Te4 at its relaxed geometry.

**Spin magnetization**: 0.00 μB per formula unit
**V**: 21.01 Å³/atom
**Electronic total energy**: -278.6 eV per cell

Lattice parameters (Å, degrees): 10.557 10.557 10.557 90.00 90.00 90.00
Space group Fd-3m (No. 227, origin choice 2)
One atom of each set of equivalent atoms:
Co: 0.000 0.000 0.000 (multiplicity 16)
Co: 0.125 0.125 0.625 (multiplicity 8)
Te: 0.007 0.007 0.243 (multiplicity 32)

=====

4.
## CaGaS2Cl (PBE)

Data for crystalline CaGaS2Cl at its relaxed geometry.

**Spin magnetization**: 0.00 μB per formula unit
**V**: 22.23 Å³/atom
**Excess energy over the best structure of this formula in the dataset**: 0 meV per atom

Lattice parameters (Å, degrees): 4.781 4.781 4.864 90.00 90.00 90.00
Space group P4/mmm (No. 123)
One atom of each set of equivalent atoms:
Ca: 0.000 0.000 0.000 (multiplicity 1)
Ga: 0.500 0.500 0.500 (multiplicity 1)
S: 0.000 0.500 0.500 (multiplicity 2)
Cl: 0.500 0.500 0.000 (multiplicity 1)

=====

5.
## TcTe2SeN (PBE)

Data for crystalline TcTe2SeN at its relaxed geometry.

**Spin magnetization**: 0.00 μB per formula unit
**V**: 21.53 Å³/atom
**Excess energy over the best structure of this formula in the dataset**: 0 meV per atom

Lattice parameters (Å, degrees): 5.372 5.372 3.730 90.00 90.00 90.00
Space group P4/mmm (No. 123)
One atom of each set of equivalent atoms:
Tc: 0.000 0.000 0.000 (multiplicity 1)
Te: 0.000 0.500 0.000 (multiplicity 2)
Se: 0.500 0.500 0.500 (multiplicity 1)
N: 0.000 0.000 0.500 (multiplicity 1)

=====

6.
## Ce4Zn (PBE)

Data for crystalline Ce4Zn at its relaxed geometry.

**Spin magnetization**: 4.69 μB per formula unit
**ΔH_f (0 K)**: 467 meV per atom
**V**: 34.22 Å³/atom

Lattice parameters (Å, degrees): 5.552 5.552 5.552 90.00 90.00 90.00
Space group Pm-3m (No. 221)
One atom of each set of equivalent atoms:
Ce: 0.000 0.000 0.000 (multiplicity 1)
Ce: 0.000 0.500 0.500 (multiplicity 3)
Zn: 0.500 0.500 0.500 (multiplicity 1)

=====

7.
## Ba2ScBr (PBE)

Data for crystalline Ba2ScBr at its relaxed geometry.

**Spin magnetization**: 0.90 μB per formula unit
**V**: 39.20 Å³/atom
**Excess energy over the best structure of this formula in the dataset**: 142 meV per atom

Lattice parameters (Å, degrees): 6.370 6.372 3.863 90.00 90.00 90.00
Space group Pmm2 (No. 25)
One atom of each set of equivalent atoms:
Ba: 0.000 0.000 0.000 (multiplicity 1)
Ba: 0.500 0.500 0.004 (multiplicity 1)
Sc: 0.500 0.000 0.502 (multiplicity 1)
Br: 0.000 0.500 0.509 (multiplicity 1)

=====

8.
## CeZr2Sn (PBE)

Data for crystalline CeZr2Sn at its relaxed geometry.

**Spin magnetization**: 0.00 μB per formula unit
**ΔH_f (0 K)**: -324 meV per atom
**V**: 23.55 Å³/atom
**Excess energy over the best structure of this formula in the dataset**: 36 meV per atom

Lattice parameters (Å, degrees): 4.724 4.724 4.221 90.00 90.00 90.00
Space group P4/mmm (No. 123)
One atom of each set of equivalent atoms:
Ce: 0.000 0.000 0.000 (multiplicity 1)
Zr: 0.000 0.500 0.500 (multiplicity 2)
Sn: 0.500 0.500 0.000 (multiplicity 1)

=====

9.
## CaZn4P (PBE)

Data for crystalline CaZn4P at its relaxed geometry.

**Spin magnetization**: 0.00 μB per formula unit
**ΔH_f (0 K)**: 5 meV per atom
**V**: 18.25 Å³/atom

Lattice parameters (Å, degrees): 7.594 7.594 7.594 90.00 90.00 90.00
Space group F-43m (No. 216)
One atom of each set of equivalent atoms:
Ca: 0.000 0.000 0.000 (multiplicity 4)
Zn: 0.124 0.124 0.376 (multiplicity 16)
P: 0.250 0.250 0.750 (multiplicity 4)

=====

10.
## MoIrCl2 (PBE)

Data for crystalline MoIrCl2 at its relaxed geometry.

**Spin magnetization**: 0.00 μB per formula unit
**V**: 16.95 Å³/atom
**Excess energy over the best structure of this formula in the dataset**: 896 meV per atom

Lattice parameters (Å, degrees): 4.144 4.144 15.793 90.00 90.00 90.00
Space group I-42d (No. 122)
One atom of each set of equivalent atoms:
Mo: 0.000 0.000 0.000 (multiplicity 4)
Ir: 0.000 0.000 0.500 (multiplicity 4)
Cl: 0.243 0.250 0.125 (multiplicity 8)

=====

11.
## LiSb2SeI (PBE)

Data for crystalline LiSb2SeI at its relaxed geometry.

**Spin magnetization**: 0.59 μB per formula unit
**V**: 35.46 Å³/atom
**Excess energy over the best structure of this formula in the dataset**: 0 meV per atom

Lattice parameters (Å, degrees): 5.504 5.504 5.853 90.00 90.00 90.00
Space group P4/mmm (No. 123)
One atom of each set of equivalent atoms:
Li: 0.000 0.000 0.000 (multiplicity 1)
Sb: 0.000 0.500 0.500 (multiplicity 2)
Se: 0.500 0.500 0.500 (multiplicity 1)
I: 0.500 0.500 0.000 (multiplicity 1)

=====

12.
## MgPaIrRu (PBE)

Data for crystalline MgPaIrRu at its relaxed geometry.

**Spin magnetization**: 0.00 μB per formula unit
**ΔH_f (0 K)**: -610 meV per atom
**V**: 17.79 Å³/atom
**Excess energy over the best structure of this formula in the dataset**: 0 meV per atom

Lattice parameters (Å, degrees): 3.631 4.328 4.527 90.00 90.00 90.00
Space group Pmmm (No. 47)
One atom of each set of equivalent atoms:
Mg: 0.000 0.000 0.000 (multiplicity 1)
Pa: 0.000 0.500 0.500 (multiplicity 1)
Ir: 0.500 0.500 0.000 (multiplicity 1)
Ru: 0.500 0.000 0.500 (multiplicity 1)

=====

Number 1: N(E_F) 0.580 states/eV per atom. Number 2: N(E_F) 0.792 states/eV per atom. Number 3: N(E_F) 0.886 states/eV per atom. Number 4: N(E_F) 0.347 states/eV per atom. Number 5: N(E_F) 0.872 states/eV per atom. Number 6: N(E_F) 4.254 states/eV per atom. Number 7: N(E_F) 1.558 states/eV per atom. Number 8: N(E_F) 1.490 states/eV per atom. Number 9: N(E_F) 0.580 states/eV per atom. Number 10: N(E_F) 1.025 states/eV per atom. Number 11: N(E_F) 1.017 states/eV per atom. Number 12: N(E_F) 0.369 states/eV per atom.